# 1
First-principles (PBE) data for a geometry-optimized Tb5Pm2In structure, as listed in Alexandria.

a = 10.783 Å, b = 10.783 Å, c = 10.783 Å
α = 153.58°, β = 153.58°, γ = 37.71°
Fractional positions:
Tb (0.000, 0.000, 0.000)
Tb (0.120, 0.620, 0.500)
Tb (0.380, 0.880, 0.500)
Tb (0.620, 0.120, 0.500)
Tb (0.880, 0.380, 0.500)
Pm (0.246, 0.246, 0.000)
Pm (0.754, 0.754, 0.000)
In (0.500, 0.500, 0.000)

Calculated values
Density of states at the Fermi level ... 1.286 states/eV/atom


# 2
First-principles (PBE) data for a geometry-optimized NpIrN structure, as listed in Alexandria.

a = 3.402 Å, b = 3.402 Å, c = 7.559 Å
α = 90.00°, β = 90.00°, γ = 90.00°
Fractional positions:
Np (0.250, 0.250, 0.176)
Np (0.750, 0.750, 0.824)
Ir (0.250, 0.250, 0.592)
Ir (0.750, 0.750, 0.408)
N (0.250, 0.250, 0.871)
N (0.750, 0.750, 0.129)

Calculated values
Density of states at the Fermi level ... 1.842 states/eV/atom
E_form (uncorrected) ... -0.5955 eV per atom


# 3
First-principles (PBE) data for a geometry-optimized Tb4Ga12Ir structure, as listed in Alexandria.

a = 7.475 Å, b = 7.475 Å, c = 7.475 Å
α = 109.47°, β = 109.47°, γ = 109.47°
Fractional positions:
Tb (0.000, 0.000, 0.500)
Tb (0.000, 0.500, 0.000)
Tb (0.500, 0.000, 0.000)
Tb (0.500, 0.500, 0.500)
Ga (0.000, 0.293, 0.293)
Ga (0.000, 0.707, 0.707)
Ga (0.250, 0.500, 0.750)
Ga (0.250, 0.750, 0.500)
Ga (0.293, 0.000, 0.293)
Ga (0.293, 0.293, 0.000)
Ga (0.500, 0.250, 0.750)
Ga (0.500, 0.750, 0.250)
Ga (0.707, 0.000, 0.707)
Ga (0.707, 0.707, 0.000)
Ga (0.750, 0.250, 0.500)
Ga (0.750, 0.500, 0.250)
Ir (0.000, 0.000, 0.000)

Calculated values
Density of states at the Fermi level ... 0.432 states/eV/atom


Listing total DFT energy (no corrections) for the structures above in their given order: -4.53, -10.64, -4.36 eV/atom.